No. 1
A relaxed K4SnBr2 crystal, computed with PBE-GGA.

## Properties
**Symmetry**: No. 139
**ΔE_f (raw)**: -0.70 eV per atom
**Raw total energy**: -2.375 eV/atom
**Mass density**: 1.85 g/cm3
**Size of the total moment**: 2.013 μB per cell

Cell lengths 6.6887, 6.6887, 9.9250 Å; angles 70.31, 70.31, 90.00 degrees
Closest atoms and distances in Å follow each position.
Atoms (fractional coordinates):
1 Br 0.3750 0.3750 0.2499  1 K 3.10
2 Br 0.6250 0.6250 0.7501  1 K 3.10
3 K 0.5000 0.0000 0.0000  2 Sn 3.34
4 K 0.0000 0.5000 0.0000  2 Sn 3.34
5 K 0.8023 0.8023 0.3953  1 Br 3.10, 1 Sn 3.45
6 K 0.1977 0.1977 0.6047  1 Br 3.10, 1 Sn 3.45
7 Sn 0.0000 0.0000 0.0000  6 K 3.34-3.45


No. 2
A relaxed KSn2Br crystal, computed with PBE-GGA.

## Properties
**Symmetry**: No. 225
**Excess energy over the best structure of this formula in the dataset**: 0.672 eV per atom
**ΔE_f (raw)**: 0.17 eV per atom
**Raw total energy**: -2.521 eV/atom
**Mass density**: 4.58 g/cm3
**Size of the total moment**: 0.000 μB per cell

Cell lengths 5.6758, 5.6758, 5.6758 Å; angles 60.00, 60.00, 60.00 degrees
Closest atoms and distances in Å follow each position.
Atoms (fractional coordinates):
1 Sn 0.7500 0.7500 0.7500  4 Br 3.48, 4 K 3.48
2 Sn 0.2500 0.2500 0.2500  4 Br 3.48, 4 K 3.48
3 K 0.0000 0.0000 0.0000  8 Sn 3.48
4 Br 0.5000 0.5000 0.5000  8 Sn 3.48


No. 3
A relaxed K2SnBr6 crystal, computed with PBE-GGA.

## Properties
**Symmetry**: No. 14
**Excess energy over the best structure of this formula in the dataset**: 0.000 eV per atom
**ΔE_f (raw)**: -1.17 eV per atom
**Raw total energy**: -2.978 eV/atom
**Mass density**: 3.49 g/cm3
**Size of the total moment**: 0.000 μB per cell

Cell lengths 7.9674, 7.6442, 12.9506 Å; angles 54.77, 90.00, 90.00 degrees
Closest atoms and distances in Å follow each position.
Atoms (fractional coordinates):
1 Sn 0.0000 0.0000 0.0000  6 Br 2.65-2.66
2 Sn 0.5000 0.0000 0.5000  6 Br 2.65-2.66
3 Br 0.4904 0.1668 0.2554  1 Sn 2.65
4 Br 0.9904 0.8332 0.2446  1 Sn 2.65
5 Br 0.1880 0.3227 0.9589  1 Sn 2.66
6 Br 0.7773 0.2231 0.4645  1 Sn 2.66
7 Br 0.5095 0.8332 0.7446  1 Sn 2.65
8 Br 0.2227 0.7769 0.5355  1 Sn 2.66
9 Br 0.8120 0.6773 0.0411  1 Sn 2.66
10 Br 0.0096 0.1668 0.7554  1 Sn 2.65
11 Br 0.2773 0.7769 0.0355  1 Sn 2.66
12 Br 0.7227 0.2231 0.9645  1 Sn 2.66
13 Br 0.3120 0.3227 0.4589  1 Sn 2.66
14 Br 0.6880 0.6773 0.5411  1 Sn 2.66
15 K 0.0720 0.2705 0.2475  8 Br 3.39-3.65
16 K 0.9280 0.7295 0.7525  8 Br 3.39-3.65
17 K 0.4280 0.2705 0.7475  8 Br 3.39-3.65
18 K 0.5720 0.7295 0.2525  8 Br 3.39-3.65


No. 4
A relaxed KSn2Br4 crystal, computed with PBE-GGA.

## Properties
**Symmetry**: No. 1
**Excess energy over the best structure of this formula in the dataset**: 0.000 eV per atom
**ΔE_f (raw)**: -0.91 eV per atom
**Raw total energy**: -3.166 eV/atom
**Mass density**: 3.55 g/cm3
**Size of the total moment**: 0.000 μB per cell

Cell lengths 9.3687, 8.7321, 9.4251 Å; angles 108.78, 112.00, 112.13 degrees
Closest atoms and distances in Å follow each position.
Atoms (fractional coordinates):
1 Sn 0.7606 0.8220 0.4174  1 Br 2.68
2 Sn 0.6598 0.4103 0.3207  2 Br 2.80-2.94, 1 Sn 3.05
3 Sn 0.5835 0.3667 0.7469  3 Br 2.73-2.93
4 Sn 0.0376 0.2669 0.6350  3 Br 2.86-3.14, 1 Sn 3.05
5 Br 0.9055 0.5779 0.6925  1 Sn 2.80
6 Br 0.8614 0.6583 0.1673  2 Sn 3.00-3.12
7 Br 0.9482 0.2935 0.3222  1 Sn 2.86
8 Br 0.2700 0.1034 0.7335  2 Sn 2.89-3.05
9 Br 0.4087 0.6766 0.1650  1 Sn 2.68
10 Br 0.3663 0.1722 0.3513  2 Sn 2.93-2.94
11 Br 0.4790 0.6211 0.7557  1 Sn 2.73
12 Br 0.7546 0.0787 0.7273  3 Sn 3.09-3.45, 2 K 3.27-3.43
13 K 0.2801 0.7370 0.4503  6 Br 3.31-3.51
14 K 0.9347 0.9655 0.0147  6 Br 3.27-3.58


No. 5
A relaxed K2Sn2Br5 crystal, computed with PBE-GGA.

## Properties
**Symmetry**: No. 46
**ΔE_f (raw)**: -1.05 eV per atom
**Raw total energy**: -3.114 eV/atom
**Mass density**: 3.52 g/cm3
**Size of the total moment**: 0.000 μB per cell

Cell lengths 7.8594, 7.5188, 12.6348 Å; angles 107.31, 108.12, 90.00 degrees
Closest atoms and distances in Å follow each position.
Atoms (fractional coordinates):
1 K 0.0860 0.7157 0.2905  5 Br 3.26-3.54
2 K 0.2956 0.9252 0.7095  5 Br 3.26-3.54
3 K 0.9140 0.4252 0.7095  5 Br 3.26-3.54
4 K 0.7044 0.2157 0.2905  5 Br 3.26-3.54
5 Br 0.2437 0.7358 0.9002  2 Sn 2.86-3.08
6 Br 0.1565 0.2358 0.9002  2 Sn 2.86-3.08
7 Br 0.5307 0.3338 0.7588  2 Sn 2.97-3.03
8 Br 0.7281 0.8338 0.7588  2 Sn 2.97-3.03
9 Br 0.1602 0.4742 0.5000  1 Sn 2.84
10 Br 0.7563 0.8356 0.0998  2 Sn 2.86-3.08
11 Br 0.4693 0.5750 0.2412  2 Sn 2.97-3.03
12 Br 0.2719 0.0750 0.2412  2 Sn 2.97-3.03
13 Br 0.8435 0.3356 0.0998  2 Sn 2.86-3.08
14 Br 0.8398 0.9742 0.5000  1 Sn 2.84
15 Sn 0.0000 0.0105 0.0000  6 Br 2.86-3.08
16 Sn 0.5632 0.7302 0.5000  3 Br 2.84-2.97
17 Sn 0.5000 0.5105 0.0000  6 Br 2.86-3.08
18 Sn 0.4368 0.2302 0.5000  3 Br 2.84-2.97


No. 6
A relaxed K3Sn2Br8 crystal, computed with PBE-GGA.

## Properties
**Symmetry**: No. 12
**ΔE_f (raw)**: -1.13 eV per atom
**Raw total energy**: -3.026 eV/atom
**Mass density**: 3.20 g/cm3
**Size of the total moment**: 0.000 μB per cell

Cell lengths 7.8388, 9.0904, 8.5708 Å; angles 122.03, 85.83, 90.00 degrees
Closest atoms and distances in Å follow each position.
Atoms (fractional coordinates):
1 Br 0.6710 0.6169 0.6659  2 Sn 2.91-3.05
2 Br 0.2741 0.4270 0.8541  1 Sn 2.79
3 Br 0.7259 0.5730 0.1459  1 Sn 2.79
4 Br 0.1945 0.8694 0.7389  1 Sn 2.96, 3 K 3.18-3.26
5 Br 0.3290 0.3831 0.3341  2 Sn 2.91-3.05
6 Br 0.3290 0.9510 0.3341  2 Sn 2.91-3.05
7 Br 0.6710 0.0490 0.6659  2 Sn 2.91-3.05
8 Br 0.8055 0.1306 0.2611  1 Sn 2.96, 3 K 3.18-3.26
9 K 0.0000 0.7493 0.0000  4 Br 3.24-3.26
10 K 0.0000 0.2507 0.0000  4 Br 3.24-3.26
11 K 0.5000 0.0000 0.0000  6 Br 3.18-3.32
12 Sn 0.4918 0.7289 0.4577  6 Br 2.79-3.05
13 Sn 0.5082 0.2711 0.5423  6 Br 2.79-3.05